Computed, not measured: a crystal of KSr2Tc2 relaxed with PBEsol at the meta-GGA SCAN level of DFT.

formation energy: 0.99 eV/atom
total DFT energy (no corrections): -118.03 eV/f.u.
total magnetic moment: 3.6 μB per cell

Geometry as CIF:
```
data_KSr2Tc2
_chemical_formula_sum 'K2 Sr4 Tc4'
_cell_length_a 5.999
_cell_length_b 5.999
_cell_length_c 9.242
_cell_angle_alpha 90.00
_cell_angle_beta 90.00
_cell_angle_gamma 90.00
_symmetry_space_group_name_H-M 'I 4/m m m'
_symmetry_Int_Tables_number 139
_symmetry_space_group_name_Hall '-I 4 2'
loop_
_atom_site_label
_atom_site_fract_x
_atom_site_fract_y
_atom_site_fract_z
K1 0.000 0.000 0.000
Sr1 0.000 0.500 0.250
Tc1 0.000 0.000 0.387
```


Computed, not measured: a crystal of K3SrTc relaxed with PBEsol at the meta-GGA SCAN level of DFT.

formation energy: 1.10 eV/atom
total DFT energy (no corrections): -76.82 eV/f.u.
total magnetic moment: 2.4 μB per cell

Geometry as CIF:
```
data_K3SrTc
_chemical_formula_sum 'K3 Sr1 Tc1'
_cell_length_a 6.367
_cell_length_b 6.367
_cell_length_c 6.367
_cell_angle_alpha 90.00
_cell_angle_beta 90.00
_cell_angle_gamma 90.00
_symmetry_space_group_name_H-M 'P m -3 m'
_symmetry_Int_Tables_number 221
_symmetry_space_group_name_Hall '-P 4 2 3'
loop_
_atom_site_label
_atom_site_fract_x
_atom_site_fract_y
_atom_site_fract_z
K1 0.000 0.000 0.500
Sr1 0.500 0.500 0.500
Tc1 0.000 0.000 0.000
```


Computed, not measured: a crystal of K2SrTiTc relaxed with PBEsol at the meta-GGA SCAN level of DFT.

formation energy: 0.95 eV/atom
total DFT energy (no corrections): -85.25 eV/f.u.
total magnetic moment: 0.4 μB per cell

Geometry as CIF:
```
data_K2SrTiTc
_chemical_formula_sum 'K2 Sr1 Ti1 Tc1'
_cell_length_a 6.401
_cell_length_b 6.401
_cell_length_c 4.436
_cell_angle_alpha 90.00
_cell_angle_beta 90.00
_cell_angle_gamma 90.00
_symmetry_space_group_name_H-M 'P 4/m m m'
_symmetry_Int_Tables_number 123
_symmetry_space_group_name_Hall '-P 4 2'
loop_
_atom_site_label
_atom_site_fract_x
_atom_site_fract_y
_atom_site_fract_z
K1 0.000 0.500 0.000
Sr1 0.000 0.000 0.500
Ti1 0.500 0.500 0.500
Tc1 0.500 0.500 0.000
```


Computed, not measured: a crystal of KSrTiTc2 relaxed with PBEsol at the meta-GGA SCAN level of DFT.

formation energy: 1.13 eV/atom
total DFT energy (no corrections): -111.10 eV/f.u.
total magnetic moment: 2.0 μB per cell

Geometry as CIF:
```
data_KSrTiTc2
_chemical_formula_sum 'K1 Sr1 Ti1 Tc2'
_cell_length_a 4.614
_cell_length_b 4.614
_cell_length_c 5.845
_cell_angle_alpha 90.00
_cell_angle_beta 90.00
_cell_angle_gamma 90.00
_symmetry_space_group_name_H-M 'P 4/m m m'
_symmetry_Int_Tables_number 123
_symmetry_space_group_name_Hall '-P 4 2'
loop_
_atom_site_label
_atom_site_fract_x
_atom_site_fract_y
_atom_site_fract_z
K1 0.000 0.000 0.000
Sr1 0.500 0.500 0.000
Ti1 0.500 0.500 0.500
Tc1 0.000 0.500 0.500
```


Computed, not measured: a crystal of K2SrTi relaxed with PBEsol at the meta-GGA SCAN level of DFT.

formation energy: 0.88 eV/atom
total DFT energy (no corrections): -51.45 eV/f.u.
total magnetic moment: 12.3 μB per cell

Geometry as CIF:
```
data_K2SrTi
_chemical_formula_sum 'K8 Sr4 Ti4'
_cell_length_a 8.917
_cell_length_b 8.917
_cell_length_c 8.917
_cell_angle_alpha 90.00
_cell_angle_beta 90.00
_cell_angle_gamma 90.00
_symmetry_space_group_name_H-M 'F m -3 m'
_symmetry_Int_Tables_number 225
_symmetry_space_group_name_Hall '-F 4 2 3'
loop_
_atom_site_label
_atom_site_fract_x
_atom_site_fract_y
_atom_site_fract_z
K1 0.250 0.250 0.250
Sr1 0.000 0.000 0.000
Ti1 0.000 0.000 0.500
```


Computed, not measured: a crystal of KSrTl relaxed with PBEsol at the meta-GGA SCAN level of DFT.

formation energy: -0.10 eV/atom
total DFT energy (no corrections): -103.25 eV/f.u.
total magnetic moment: 0.0 μB per cell

Geometry as CIF:
```
data_KSrTl
_chemical_formula_sum 'K1 Sr1 Tl1'
_cell_length_a 5.8229
_cell_length_b 5.8229
_cell_length_c 3.9835
_cell_angle_alpha 90.00
_cell_angle_beta 90.00
_cell_angle_gamma 120.00
_symmetry_space_group_name_H-M 'P 3 m 1'
_symmetry_Int_Tables_number 156
_symmetry_space_group_name_Hall 'P 3 -2"'
loop_
_atom_site_label
_atom_site_fract_x
_atom_site_fract_y
_atom_site_fract_z
K1 0.0000 0.0000 0.0000
Sr1 0.6667 0.3333 0.3874
Tl1 0.3333 0.6667 0.7018
```